Computed, not measured: a relaxed structure of LaMo2H7 at the GGA-PBE level of DFT.

a = 3.5640 Å, b = 5.2111 Å, c = 5.5391 Å
α = 118.06°, β = 90.00°, γ = 90.00°
Sites, in units of the cell vectors:
La: 0.0000 0.0000 0.0000
Mo: 0.5000 0.3153 0.6305
Mo: 0.5000 0.6847 0.3695
H: 0.0000 0.3748 0.7496
H: 0.0000 0.6252 0.2504
H: 0.5000 0.3065 0.2857
H: 0.5000 0.6935 0.7143
H: 0.5000 0.0208 0.7143
H: 0.5000 0.9792 0.2857
H: 0.5000 0.5000 0.0000

Values from the calculation:
Calculated volume, A^3/atom: 9.08
Space-group type: Cmmm
Raw total energy, eV for the cell shown: -50.7
N(E_F), states/eV/cell: 4.906
Magnetic moment, μB/atom: 0.00